Record 1
Density functional theory data (PBE) for V6IrRh12 after structural relaxation.

a = 6.9913 Å, b = 6.9913 Å, c = 6.9913 Å
α = 107.71°, β = 107.71°, γ = 107.71°
Last column: nearest neighbours and their distance in Å.
Element x y z (fractional)
Rh (0.8047, 0.4863, 0.3855)  2 V 2.45-2.48, 5 Rh 2.55-2.72
Rh (0.6145, 0.1953, 0.5137)  2 V 2.45-2.48, 5 Rh 2.55-2.72
Rh (0.9168, 0.7179, 0.1843)  2 V 2.50-2.61, 4 Rh 2.55-2.80, 1 Ir 2.68
Rh (0.0832, 0.2821, 0.8157)  2 V 2.50-2.61, 4 Rh 2.55-2.80, 1 Ir 2.68
Rh (0.1843, 0.9168, 0.7179)  2 V 2.50-2.61, 4 Rh 2.55-2.80, 1 Ir 2.68
Rh (0.4863, 0.3855, 0.8047)  2 V 2.45-2.48, 5 Rh 2.55-2.72
Rh (0.2821, 0.8157, 0.0832)  2 V 2.50-2.61, 4 Rh 2.55-2.80, 1 Ir 2.68
Rh (0.7179, 0.1843, 0.9168)  2 V 2.50-2.61, 4 Rh 2.55-2.80, 1 Ir 2.68
Rh (0.5137, 0.6145, 0.1953)  2 V 2.45-2.48, 5 Rh 2.55-2.72
Rh (0.3855, 0.8047, 0.4863)  2 V 2.45-2.48, 5 Rh 2.55-2.72
Rh (0.8157, 0.0832, 0.2821)  2 V 2.50-2.61, 4 Rh 2.55-2.80, 1 Ir 2.68
Rh (0.1953, 0.5137, 0.6145)  2 V 2.45-2.48, 5 Rh 2.55-2.72
V (0.2175, 0.1074, 0.4225)  4 Rh 2.45-2.61, 1 Ir 2.61
V (0.4225, 0.2175, 0.1074)  4 Rh 2.45-2.61, 1 Ir 2.61
V (0.7825, 0.8926, 0.5775)  4 Rh 2.45-2.61, 1 Ir 2.61
V (0.5775, 0.7825, 0.8926)  4 Rh 2.45-2.61, 1 Ir 2.61
V (0.1074, 0.4225, 0.2175)  4 Rh 2.45-2.61, 1 Ir 2.61
V (0.8926, 0.5775, 0.7825)  4 Rh 2.45-2.61, 1 Ir 2.61
Ir (0.0000, 0.0000, 0.0000)  6 V 2.61, 6 Rh 2.68

Summary:
The value obtained for the volume is 14.68 Å³/atom. The calculation puts the total energy at -155.405 eV for the cell shown. The calculated formation energy is -0.190 eV per atom.

***

Record 2
Density functional theory data (PBE) for V2IrRh after structural relaxation.

a = 2.7454 Å, b = 4.5810 Å, c = 4.5810 Å
α = 106.13°, β = 90.00°, γ = 90.00°
Last column: nearest neighbours and their distance in Å.
Element x y z (fractional)
V (0.0000, 0.0000, 0.5000)  4 Ir 2.67, 4 Rh 2.67, 4 V 2.75
V (0.0000, 0.5000, 0.0000)  4 Rh 2.67, 4 Ir 2.67, 4 V 2.75
Ir (0.5000, 0.5000, 0.5000)  8 V 2.67, 2 Ir 2.75, 2 Rh 2.75
Rh (0.5000, 0.0000, 0.0000)  8 V 2.67, 2 Rh 2.75, 2 Ir 2.75

Summary:
The value obtained for the volume is 13.84 Å³/atom. The calculation puts the total energy at -36.193 eV for the cell shown. The calculated formation energy is -0.436 eV per atom.

***

Record 3
Density functional theory data (PBE) for V2IrRh after structural relaxation.

a = 2.7418 Å, b = 2.7418 Å, c = 7.3629 Å
α = 90.00°, β = 90.00°, γ = 90.00°
Last column: nearest neighbours and their distance in Å.
Element x y z (fractional)
Rh (0.5000, 0.5000, 0.0000)  8 V 2.68, 4 Rh 2.74
V (0.0000, 0.0000, 0.2508)  4 Ir 2.67, 4 Rh 2.68, 4 V 2.74
V (0.0000, 0.0000, 0.7492)  4 Ir 2.67, 4 Rh 2.68, 4 V 2.74
Ir (0.5000, 0.5000, 0.5000)  8 V 2.67, 4 Ir 2.74

Summary:
The value obtained for the volume is 13.84 Å³/atom. The calculation puts the total energy at -36.192 eV for the cell shown. The calculated formation energy is -0.436 eV per atom.

***

Record 4
Density functional theory data (PBE) for V6Ir5Rh after structural relaxation.

a = 4.6517 Å, b = 5.4293 Å, c = 8.1114 Å
α = 59.91°, β = 73.96°, γ = 90.07°
Last column: nearest neighbours and their distance in Å.
Element x y z (fractional)
Ir (0.3359, 0.0001, 0.6660)  6 V 2.69-2.70, 5 Ir 2.70-2.73, 1 Rh 2.73
Ir (0.3348, 0.5006, 0.6667)  6 V 2.69-2.70, 5 Ir 2.71-2.72, 1 Rh 2.72
Ir (0.0000, 0.5000, 0.0000)  6 V 2.69, 2 Rh 2.71, 4 Ir 2.72-2.73
Ir (0.6641, 0.9999, 0.3340)  6 V 2.69-2.70, 5 Ir 2.70-2.73, 1 Rh 2.73
Ir (0.6652, 0.4994, 0.3333)  6 V 2.69-2.70, 5 Ir 2.71-2.72, 1 Rh 2.72
V (0.1647, 0.2492, 0.3337)  6 Ir 2.69-2.70, 6 V 2.71-2.72
V (0.5002, 0.7490, 0.9999)  4 Ir 2.69, 2 Rh 2.69-2.70, 6 V 2.70-2.73
V (0.1640, 0.7500, 0.3337)  1 Rh 2.69, 5 Ir 2.69-2.70, 6 V 2.71-2.73
V (0.4998, 0.2510, 0.0001)  4 Ir 2.69, 2 Rh 2.69-2.70, 6 V 2.70-2.73
V (0.8353, 0.7508, 0.6663)  6 Ir 2.69-2.70, 6 V 2.71-2.72
V (0.8360, 0.2500, 0.6663)  1 Rh 2.69, 5 Ir 2.69-2.70, 6 V 2.71-2.73
Rh (0.0000, 0.0000, 0.0000)  6 V 2.69-2.70, 6 Ir 2.71-2.73

Summary:
The value obtained for the volume is 13.99 Å³/atom. The calculation puts the total energy at -109.870 eV for the cell shown. The calculated formation energy is -0.292 eV per atom.